Entry from Alexandria via LeMat-Bulk: a geometry-optimized SrMn2N structure (PBE-GGA).

Summary:
- ΔE_f (raw): -14 kJ/mol of formula units
- Symmetry: No. 227
- VASP energy: -56.981 eV/cell
- Total magnetization: 1.25 μB/atom

Unit cell a=6.0330 b=6.0330 c=6.0330 alpha=60.00 beta=60.00 gamma=60.00
Last column: nearest neighbours and their distance in Å.
Atoms (fractional coordinates):
Sr (0.1250, 0.1250, 0.1250)  12 Mn 3.54, 4 Sr 3.69, 4 N 3.69
Sr (0.8750, 0.8750, 0.8750)  12 Mn 3.54, 4 N 3.69, 4 Sr 3.69
Mn (0.0000, 0.5000, 0.5000)  2 N 1.85
Mn (0.5000, 0.0000, 0.5000)  2 N 1.85
Mn (0.5000, 0.5000, 0.0000)  2 N 1.85
Mn (0.5000, 0.5000, 0.5000)  2 N 1.85
N (0.3750, 0.3750, 0.3750)  4 Mn 1.85
N (0.6250, 0.6250, 0.6250)  4 Mn 1.85